5
Lattice="4.648 0.000 0.000 0.000 4.648 0.000 0.000 0.000 4.648" Properties=species:S:1:pos:R:3 comment="Ti3OsW (PBE-GGA, relaxed)" total_energy_ev_per_cell=-42.86 polymorph_energy_mev_per_atom=1261 formation_energy_ev_per_atom=1.00 pbc="T T T"
Ti 0.000 0.000 2.324
Ti 2.324 0.000 0.000
Ti 0.000 2.324 0.000
Os 0.000 0.000 0.000
W 2.324 2.324 2.324

5
Lattice="-0.017 -0.090 -4.322 2.665 -2.591 2.207 -7.514 -5.765 2.312" Properties=species:S:1:pos:R:3 comment="Ba2Si2Br (PBE-GGA, relaxed)" total_energy_ev_per_cell=-21.05 polymorph_energy_mev_per_atom=0 raw_formation_energy_kj_per_mol_atoms=-91 pbc="T T T"
Si -1.516 -5.069 0.113
Si -3.350 -3.376 0.084
Br 0.000 0.000 0.000
Ba -4.050 -5.818 2.302
Ba -0.815 -2.627 -2.105